[1]
A relaxed K4AlAu3 crystal, computed with PBE-GGA.

Mass density   5237 kg/m3
Space group   No. 140
Calculated formation energy   -0.27 eV/atom

Lattice parameters (Å, degrees): 5.902 9.587 9.587 84.56 72.07 72.07
Positions (direct):
K1 0.089 0.135 0.687
K2 0.411 0.313 0.865
K3 0.589 0.687 0.135
K4 0.911 0.865 0.313
K5 0.776 0.313 0.135
K6 0.724 0.865 0.687
K7 0.276 0.135 0.313
K8 0.224 0.687 0.865
Au1 0.618 0.264 0.500
Au2 0.882 0.500 0.736
Au3 0.750 0.000 0.000
Au4 0.118 0.500 0.264
Au5 0.250 0.000 0.000
Au6 0.382 0.736 0.500
Al1 0.250 0.500 0.500
Al2 0.750 0.500 0.500

[2]
A relaxed K3YP crystal, computed with PBE-GGA.

Mass density   1217 kg/m3
Space group   No. 221
Distance to the lowest polymorph of the same formula   768 meV per atom
Calculated formation energy   1.26 eV/atom

Lattice parameters (Å, degrees): 6.866 6.866 6.866 90.00 90.00 90.00
Last column: magnetic moment on the atom in μB.
Positions (direct):
P1 0.500 0.500 0.500  -0.68
K1 0.000 0.000 0.500  0.03
K2 0.500 0.000 0.000  0.04
K3 0.000 0.500 0.000  0.03
Y1 0.000 0.000 0.000  0.95

[3]
A relaxed RbSrTe2I crystal, computed with PBE-GGA.

Formation energy without anion corrections   -0.2176 eV/atom
Mass density   3796 kg/m3
Space group   No. 123
Distance to the lowest polymorph of the same formula   584 meV per atom

Lattice parameters (Å, degrees): 6.120 6.120 6.483 90.00 90.00 90.00
Positions (direct):
Sr1 0.500 0.500 0.500
I1 0.000 0.000 0.500
Rb1 0.000 0.000 0.000
Te1 0.000 0.500 0.000
Te2 0.500 0.000 0.000

[4]
A relaxed Ba2Zn2Ag crystal, computed with PBE-GGA.

Mass density   5118 kg/m3
Space group   No. 139
Distance to the lowest polymorph of the same formula   154 meV per atom
Calculated formation energy   -0.06 eV/atom

Lattice parameters (Å, degrees): 6.507 6.507 6.053 57.49 57.49 90.00
Positions (direct):
Zn1 0.653 0.653 0.695
Zn2 0.347 0.347 0.305
Ba1 0.750 0.250 0.500
Ba2 0.250 0.750 0.500
Ag1 0.000 0.000 0.000

[5]
A relaxed BaNa2InC crystal, computed with PBE-GGA.

Mass density   1663 kg/m3
Space group   No. 123
Calculated formation energy   2.08 eV/atom

Lattice parameters (Å, degrees): 6.950 6.411 6.950 90.00 90.00 90.00
Last column: magnetic moment on the atom in μB.
Positions (direct):
In1 0.000 0.500 0.000  0.02
Na1 0.500 0.000 0.000  0.00
Na2 0.000 0.000 0.500  0.00
C1 0.500 0.500 0.500  0.32
Ba1 0.000 0.000 0.000  0.02

[6]
A relaxed CsFeIr3 crystal, computed with PBE-GGA.

Mass density   10526 kg/m3
Space group   No. 221
Calculated formation energy   3.65 eV/atom

Lattice parameters (Å, degrees): 4.943 4.943 4.943 90.00 90.00 90.00
Last column: magnetic moment on the atom in μB.
Positions (direct):
Cs1 0.000 0.000 0.000  -0.01
Ir1 0.000 0.000 0.500  0.20
Ir2 0.000 0.500 0.000  0.32
Ir3 0.500 0.000 0.000  0.34
Fe1 0.500 0.500 0.500  -0.33

no.,N(E_F) (states/eV per atom)
1,0.290
2,2.711
3,0.691
4,1.700
5,1.543
6,2.992